Entry 1:
VASP calculation (GGA-PBE) on a geometry-optimized PmTm2Au structure.

Cell and atoms, written as CIF:
```
data_PmTm2Au
_cell_length_a 4.902
_cell_length_b 6.458
_cell_length_c 7.746
_cell_angle_alpha 90.00
_cell_angle_beta 90.00
_cell_angle_gamma 112.31
_space_group_name_H-M_alt 'P 1'
_space_group_IT_number 1
loop_
_space_group_symop_operation_xyz
'x,y,z'
loop_
_atom_site_label
_atom_site_fract_x
_atom_site_fract_y
_atom_site_fract_z
Pm1 0.953 0.906 0.250
Pm2 0.047 0.094 0.750
Tm1 0.353 0.707 0.537
Tm2 0.647 0.293 0.463
Tm3 0.353 0.707 0.963
Tm4 0.647 0.293 0.037
Au1 0.795 0.589 0.750
Au2 0.205 0.411 0.250
```

Values from the calculation:
- crystal system = orthorhombic
- energy of formation (eV/atom) = -0.425
- ΔE to the lowest computed polymorph (meV/atom) = 0
- calculated volume (A^3/atom) = 28.359
- total magnetic moment (μB/atom) = 0.000


Entry 2:
VASP calculation (GGA-PBE) on a geometry-optimized PmTm4Au5 structure.

Cell and atoms, written as CIF:
```
data_PmTm4Au5
_cell_length_a 3.547
_cell_length_b 3.547
_cell_length_c 18.200
_cell_angle_alpha 90.00
_cell_angle_beta 90.00
_cell_angle_gamma 90.00
_space_group_name_H-M_alt 'P 1'
_space_group_IT_number 1
loop_
_space_group_symop_operation_xyz
'x,y,z'
loop_
_atom_site_label
_atom_site_fract_x
_atom_site_fract_y
_atom_site_fract_z
Pm1 0.000 0.000 0.000
Tm1 0.000 0.000 0.205
Tm2 0.000 0.000 0.401
Tm3 0.000 0.000 0.599
Tm4 0.000 0.000 0.795
Au1 0.500 0.500 0.112
Au2 0.500 0.500 0.303
Au3 0.500 0.500 0.500
Au4 0.500 0.500 0.697
Au5 0.500 0.500 0.888
```

Values from the calculation:
- crystal system = tetragonal
- energy of formation (eV/atom) = -0.872
- calculated volume (A^3/atom) = 22.899
- total magnetic moment (μB/atom) = 0.000


Entry 3:
VASP calculation (GGA-PBE) on a geometry-optimized PmTmZnAu structure.

Cell and atoms, written as CIF:
```
data_PmTmZnAu
_cell_length_a 5.110
_cell_length_b 5.110
_cell_length_c 5.110
_cell_angle_alpha 60.00
_cell_angle_beta 60.00
_cell_angle_gamma 60.00
_space_group_name_H-M_alt 'P 1'
_space_group_IT_number 1
loop_
_space_group_symop_operation_xyz
'x,y,z'
loop_
_atom_site_label
_atom_site_fract_x
_atom_site_fract_y
_atom_site_fract_z
Zn1 0.000 0.000 0.000
Tm1 0.250 0.250 0.250
Au1 0.500 0.500 0.500
Pm1 0.750 0.750 0.750
```

Values from the calculation:
- crystal system = cubic
- energy of formation (eV/atom) = -0.569
- ΔE to the lowest computed polymorph (meV/atom) = 21
- calculated volume (A^3/atom) = 23.585
- total magnetic moment (μB/atom) = 0.000


Entry 4:
VASP calculation (GGA-PBE) on a geometry-optimized PmTmZnAu structure.

Cell and atoms, written as CIF:
```
data_PmTmZnAu
_cell_length_a 3.610
_cell_length_b 3.610
_cell_length_c 7.191
_cell_angle_alpha 90.00
_cell_angle_beta 90.00
_cell_angle_gamma 90.00
_space_group_name_H-M_alt 'P 1'
_space_group_IT_number 1
loop_
_space_group_symop_operation_xyz
'x,y,z'
loop_
_atom_site_label
_atom_site_fract_x
_atom_site_fract_y
_atom_site_fract_z
Pm1 0.500 0.500 0.612
Tm1 0.500 0.500 0.108
Zn1 0.000 0.000 0.876
Au1 0.000 0.000 0.331
```

Values from the calculation:
- crystal system = tetragonal
- energy of formation (eV/atom) = -0.590
- ΔE to the lowest computed polymorph (meV/atom) = 0
- calculated volume (A^3/atom) = 23.426
- total magnetic moment (μB/atom) = 0.001


Entry 5:
VASP calculation (GGA-PBE) on a geometry-optimized PmUAu2 structure.

Cell and atoms, written as CIF:
```
data_PmUAu2
_cell_length_a 3.486
_cell_length_b 3.486
_cell_length_c 7.894
_cell_angle_alpha 90.00
_cell_angle_beta 90.00
_cell_angle_gamma 90.00
_space_group_name_H-M_alt 'P 1'
_space_group_IT_number 1
loop_
_space_group_symop_operation_xyz
'x,y,z'
loop_
_atom_site_label
_atom_site_fract_x
_atom_site_fract_y
_atom_site_fract_z
Au1 0.000 0.000 0.746
Au2 0.000 0.000 0.254
U1 0.500 0.500 0.500
Pm1 0.500 0.500 0.000
```

Values from the calculation:
- crystal system = tetragonal
- energy of formation (eV/atom) = -0.335
- ΔE to the lowest computed polymorph (meV/atom) = 0
- calculated volume (A^3/atom) = 23.982
- total magnetic moment (μB/atom) = 0.747


Entry 6:
VASP calculation (GGA-PBE) on a geometry-optimized PmVAu structure.

Cell and atoms, written as CIF:
```
data_PmVAu
_cell_length_a 3.250
_cell_length_b 3.250
_cell_length_c 12.483
_cell_angle_alpha 97.48
_cell_angle_beta 97.48
_cell_angle_gamma 90.00
_space_group_name_H-M_alt 'P 1'
_space_group_IT_number 1
loop_
_space_group_symop_operation_xyz
'x,y,z'
loop_
_atom_site_label
_atom_site_fract_x
_atom_site_fract_y
_atom_site_fract_z
V1 0.273 0.273 0.546
V2 0.727 0.727 0.454
Au1 0.158 0.158 0.316
Au2 0.842 0.842 0.684
Pm1 0.573 0.573 0.147
Pm2 0.427 0.427 0.853
```

Values from the calculation:
- crystal system = tetragonal
- energy of formation (eV/atom) = -0.070
- calculated volume (A^3/atom) = 21.598
- total magnetic moment (μB/atom) = 0.000


| no. | raw total energy (eV/cell) | N(E_F) (states/eV/f.u.) | ρ (g/cm3) |
| --- | --- | --- | --- |
| 1 | -37.341 | 5.65 | 9.95 |
| 2 | -47.748 | 4.14 | 13.09 |
| 3 | -16.051 | 2.89 | 10.14 |
| 4 | -16.134 | 3.42 | 10.21 |
| 5 | -23.933 | 8.00 | 13.45 |
| 6 | -34.716 | 3.68 | 10.07 |